Computed, not measured: a crystal of Ta2CdCu relaxed with PBEsol at the SCAN level of DFT.

## Properties
* crystal system: trigonal
* size of the total moment: 0.0 Bohr magnetons per cell
* ΔE_f: 326 meV per atom

Cell lengths 2.832, 2.832, 9.792 Å; angles 81.68, 81.68, 60.00 degrees
Element x y z (fractional)
Cd (0.500, 0.500, 0.500)
Cu (0.000, 0.000, 0.000)
Ta (0.256, 0.256, 0.231)
Ta (0.744, 0.744, 0.769)

Computed, not measured: a crystal of Ta2CdCu relaxed with PBEsol at the SCAN level of DFT.

## Properties
* crystal system: orthorhombic
* size of the total moment: 0.0 Bohr magnetons per cell
* ΔE_f: 94 meV per atom

Cell lengths 2.797, 2.797, 8.593 Å; angles 90.00, 90.00, 99.30 degrees
Element x y z (fractional)
Cd (0.000, 0.000, 0.479)
Cu (0.500, 0.500, 0.245)
Ta (0.000, 0.000, 0.019)
Ta (0.500, 0.500, 0.758)

Computed, not measured: a crystal of TaCd2Cu relaxed with PBEsol at the SCAN level of DFT.

## Properties
* crystal system: tetragonal
* size of the total moment: 0.0 Bohr magnetons per cell
* ΔE_f: 388 meV per atom

Cell lengths 4.011, 4.011, 4.238 Å; angles 90.00, 90.00, 90.00 degrees
Element x y z (fractional)
Cd (0.000, 0.500, 0.000)
Cd (0.500, 0.000, 0.000)
Cu (0.500, 0.500, 0.500)
Ta (0.000, 0.000, 0.500)

Number 1: raw total energy -44.369 eV/atom. Number 2: raw total energy -44.601 eV/atom. Number 3: raw total energy -35.265 eV/atom.